VASP calculation (PBE) on NaNpAg2Cl8 after structural relaxation.

Unit cell a=6.6470 b=6.8968 c=8.5062 alpha=103.39 beta=90.57 gamma=101.27
Closest atoms and distances in Å follow each position.
Space group P-1 (No. 2)
Inequivalent atoms, fractional coordinates:
Na  0.0000  0.0000  0.0000 (multiplicity 1)  4 Cl 2.70-2.99
Np  0.0000  0.0000  0.5000 (multiplicity 1)  6 Cl 2.51-2.58
Ag  0.4625  0.6327  0.1813 (multiplicity 2)  4 Cl 2.56-2.69
Cl  0.1160  0.7756  0.2448 (multiplicity 2)  1 Np 2.58, 1 Ag 2.69
Cl  0.1272  0.7984  0.6768 (multiplicity 2)  1 Np 2.51
Cl  0.3495  0.2408  0.5359 (multiplicity 2)  1 Np 2.55, 1 Ag 2.58
Cl  0.3754  0.2479  0.0611 (multiplicity 2)  2 Ag 2.56, 1 Na 2.70

* formation energy without anion corrections: -112 kJ/mol of atoms

***

VASP calculation (PBE) on Er2Pd13 after structural relaxation.

Unit cell a=7.3485 b=7.3485 c=20.0355 alpha=90.00 beta=90.00 gamma=120.00
Closest atoms and distances in Å follow each position.
Space group R-3m (No. 166, hexagonal axes)
Inequivalent atoms, fractional coordinates:
Er  0.0000  0.0000  0.2414 (multiplicity 6)  6 Pd 2.67-2.90
Pd  0.0000  0.0000  0.0000 (multiplicity 3)  12 Pd 2.66-2.74
Pd  0.0837  0.5419  0.5599 (multiplicity 18)  7 Pd 2.63-2.94, 1 Er 2.67
Pd  0.0864  0.5432  0.3038 (multiplicity 18)  8 Pd 2.72-2.94, 1 Er 2.90

* E_form: -0.02 eV per atom

***

VASP calculation (PBE) on ThGa2Pt2Rh after structural relaxation.

Unit cell a=3.8941 b=3.8941 c=19.4020 alpha=90.00 beta=90.00 gamma=90.00
Closest atoms and distances in Å follow each position.
Space group I4/mmm (No. 139)
Inequivalent atoms, fractional coordinates:
Th  0.0000  0.0000  0.0000 (multiplicity 2)  4 Rh 2.75
Ga  0.0000  0.0000  0.1628 (multiplicity 4)  4 Pt 2.58
Pt  0.0000  0.5000  0.2500 (multiplicity 4)  4 Ga 2.58, 4 Pt 2.75
Rh  0.0000  0.0000  0.5000 (multiplicity 2)  4 Th 2.75

* E_form: -0.21 eV per atom

***

VASP calculation (PBE) on BaCuAsN2 after structural relaxation.

Unit cell a=4.3498 b=4.3498 c=4.5468 alpha=90.00 beta=90.00 gamma=90.00
Closest atoms and distances in Å follow each position.
Space group P4/mmm (No. 123)
Inequivalent atoms, fractional coordinates:
Ba  0.0000  0.0000  0.0000 (multiplicity 1)  4 As 3.08, 8 N 3.15
Cu  0.5000  0.5000  0.5000 (multiplicity 1)  4 N 2.17, 2 As 2.27
As  0.5000  0.5000  0.0000 (multiplicity 1)  2 Cu 2.27
N  0.0000  0.5000  0.5000 (multiplicity 2)  2 Cu 2.17

* formation energy without anion corrections: 94 kJ/mol of atoms
* excess energy over the best structure of this formula in the dataset: 0 meV/atom

***

VASP calculation (PBE) on Cd3BP after structural relaxation.

Unit cell a=4.6101 b=4.6101 c=4.6101 alpha=90.00 beta=90.00 gamma=90.00
Closest atoms and distances in Å follow each position.
Space group Pm-3m (No. 221)
Inequivalent atoms, fractional coordinates:
Cd  0.0000  0.0000  0.5000 (multiplicity 3)  2 B 2.31
B  0.0000  0.0000  0.0000 (multiplicity 1)  6 Cd 2.31
P  0.5000  0.5000  0.5000 (multiplicity 1)  12 Cd 3.26

* E_form: 0.67 eV per atom
* excess energy over the best structure of this formula in the dataset: 0 meV/atom

***

VASP calculation (PBE) on Sc2TaBr after structural relaxation.

Unit cell a=6.9865 b=6.9865 c=6.9865 alpha=90.00 beta=90.00 gamma=90.00
Closest atoms and distances in Å follow each position.
Space group F-43m (No. 216)
Inequivalent atoms, fractional coordinates:
Sc  0.0000  0.0000  0.0000 (multiplicity 4)  4 Ta 3.03, 4 Sc 3.03
Sc  0.2500  0.2500  0.2500 (multiplicity 4)  4 Br 3.03, 4 Sc 3.03
Ta  0.2500  0.2500  0.7500 (multiplicity 4)  4 Br 3.03, 4 Sc 3.03
Br  0.0000  0.0000  0.5000 (multiplicity 4)  4 Ta 3.03, 4 Sc 3.03

* formation energy without anion corrections: 57 kJ/mol of atoms
* excess energy over the best structure of this formula in the dataset: 891 meV/atom

***

VASP calculation (PBE) on CsIr2O8 after structural relaxation.

Unit cell a=4.7356 b=4.7356 c=7.6429 alpha=90.00 beta=90.00 gamma=90.00
Closest atoms and distances in Å follow each position.
Space group P4/mmm (No. 123)
Inequivalent atoms, fractional coordinates:
Cs  0.0000  0.0000  0.0000 (multiplicity 1)  8 O 3.13
Ir  0.0000  0.5000  0.5000 (multiplicity 2)  8 O 2.05
O  0.2504  0.2504  0.3456 (multiplicity 8)  2 Ir 2.05

* formation energy without anion corrections: -24 kJ/mol of atoms

***

VASP calculation (PBE) on Ta3Nb3Ga after structural relaxation.

Unit cell a=7.2773 b=7.2773 c=17.6648 alpha=90.00 beta=90.00 gamma=120.00
Closest atoms and distances in Å follow each position.
Space group R-3 (No. 148, hexagonal axes)
Inequivalent atoms, fractional coordinates:
Ta  0.0525  0.2696  0.2108 (multiplicity 18)  3 Nb 2.69-2.80, 1 Ga 2.94, 2 Ta 3.01
Nb  0.0063  0.2618  0.0533 (multiplicity 18)  2 Nb 2.66, 3 Ta 2.69-2.80, 2 Ga 2.82-2.98
Ga  0.0000  0.0000  0.3425 (multiplicity 6)  6 Nb 2.82-2.98, 3 Ta 2.94

* E_form: 0.39 eV per atom

***

Please write out number 4 again, unchanged.
VASP calculation (PBE) on BaCuAsN2 after structural relaxation.

Unit cell a=4.3498 b=4.3498 c=4.5468 alpha=90.00 beta=90.00 gamma=90.00
Closest atoms and distances in Å follow each position.
Space group P4/mmm (No. 123)
Inequivalent atoms, fractional coordinates:
Ba  0.0000  0.0000  0.0000 (multiplicity 1)  4 As 3.08, 8 N 3.15
Cu  0.5000  0.5000  0.5000 (multiplicity 1)  4 N 2.17, 2 As 2.27
As  0.5000  0.5000  0.0000 (multiplicity 1)  2 Cu 2.27
N  0.0000  0.5000  0.5000 (multiplicity 2)  2 Cu 2.17

* formation energy without anion corrections: 94 kJ/mol of atoms
* excess energy over the best structure of this formula in the dataset: 0 meV/atom